# 1
ThTe4Pd: optimized geometry, PBE-GGA.

The structure in CIF format:
```
data_ThTe4Pd
_cell_length_a 7.363
_cell_length_b 6.539
_cell_length_c 8.472
_cell_angle_alpha 90.00
_cell_angle_beta 100.51
_cell_angle_gamma 90.00
_space_group_name_H-M_alt 'P 1 21/c 1'
_space_group_IT_number 14
_space_group_name_Hall '-P 2ybc'
loop_
_atom_site_label
_atom_site_type_symbol
_atom_site_fract_x
_atom_site_fract_y
_atom_site_fract_z
Th1 Th 0.000 0.000 0.000
Te1 Te 0.164 0.108 0.355
Te2 Te 0.385 0.636 0.396
Pd1 Pd 0.500 0.000 0.500
```

Calculated values
ΔE_f (raw): -537 meV per atom



# 2
Th4Te3Pd: optimized geometry, PBE-GGA.

The structure in CIF format:
```
data_Th4Te3Pd
_cell_length_a 7.775
_cell_length_b 8.871
_cell_length_c 7.589
_cell_angle_alpha 90.00
_cell_angle_beta 109.31
_cell_angle_gamma 90.00
_space_group_name_H-M_alt 'P 1 2/c 1'
_space_group_IT_number 13
_space_group_name_Hall '-P 2yc'
loop_
_atom_site_label
_atom_site_type_symbol
_atom_site_fract_x
_atom_site_fract_y
_atom_site_fract_z
Th1 Th 0.223 0.110 0.004
Th2 Th 0.232 0.363 0.484
Te1 Te 0.000 0.372 0.750
Te2 Te 0.500 0.130 0.750
Te3 Te 0.500 0.378 0.250
Pd1 Pd 0.000 0.127 0.250
```

Calculated values
ΔE_f (raw): -948 meV per atom